First-principles (GGA-PBE) data for a relaxed ScRh2Cl crystal, as listed in Alexandria.

Cell: 5.243 5.243 5.243 Å, 137.57 137.57 61.57°
Element x y z (fractional)
Rh: 0.000 0.000 0.000
Rh: 0.500 0.500 0.000
Sc: 0.250 0.750 0.500
Cl: 0.750 0.250 0.500

- Energy above the most stable polymorph in this dataset: 244 meV per atom
- SG: I4/mmm, No. 139
- Crystal system: tetragonal
- Formation energy from raw total energies: -25.0 kJ per mole of atoms

---

First-principles (GGA-PBE) data for a relaxed CdMoW2 crystal, as listed in Alexandria.

Cell: 5.353 5.353 5.353 Å, 144.49 129.49 63.26°
Element x y z (fractional)
W: 0.999 0.999 0.000
W: 0.767 0.267 0.500
Mo: 0.233 0.733 0.500
Cd: 0.500 0.500 0.000

- SG: Imm2, No. 44
- Crystal system: orthorhombic
- ΔH_f (0 K): 1.978 eV/f.u.

---

First-principles (GGA-PBE) data for a relaxed Sc2MoBr crystal, as listed in Alexandria.

Cell: 4.769 3.246 5.380 Å, 72.60 90.00 90.00°
Element x y z (fractional)
Sc: 0.500 0.274 0.322
Sc: 0.000 0.984 0.910
Br: 0.000 0.710 0.454
Mo: 0.500 0.532 0.815

- Energy above the most stable polymorph in this dataset: 252 meV per atom
- SG: Pm, No. 6
- Crystal system: monoclinic
- Formation energy from raw total energies: -11.2 kJ per mole of atoms

---

First-principles (GGA-PBE) data for a relaxed Sn12Bi5Sb3 crystal, as listed in Alexandria.

Cell: 15.710 15.710 15.710 Å, 109.47 109.47 109.47°
Element x y z (fractional)
Bi: 0.000 0.000 0.500
Bi: 0.750 0.125 0.875
Bi: 0.625 0.875 0.250
Bi: 0.500 0.500 0.500
Bi: 0.375 0.250 0.125
Bi: 0.125 0.750 0.375
Bi: 0.250 0.875 0.125
Bi: 0.500 0.500 0.000
Bi: 0.125 0.375 0.250
Bi: 0.375 0.125 0.750
Bi: 0.000 0.500 0.500
Bi: 0.625 0.750 0.875
Bi: 0.750 0.625 0.375
Bi: 0.250 0.375 0.625
Bi: 0.875 0.250 0.625
Bi: 0.500 0.000 0.500
Bi: 0.875 0.625 0.750
Bi: 0.000 0.500 0.000
Bi: 0.000 0.000 0.000
Bi: 0.500 0.000 0.000
Sn: 0.080 0.161 0.231
Sn: 0.349 0.419 0.080
Sn: 0.430 0.769 0.849
Sn: 0.580 0.849 0.419
Sn: 0.839 0.920 0.269
Sn: 0.930 0.349 0.269
Sn: 0.651 0.070 0.231
Sn: 0.661 0.430 0.581
Sn: 0.919 0.839 0.570
Sn: 0.419 0.349 0.580
Sn: 0.339 0.769 0.420
Sn: 0.231 0.570 0.651
Sn: 0.269 0.420 0.839
Sn: 0.570 0.339 0.919
Sn: 0.070 0.651 0.731
Sn: 0.930 0.581 0.161
Sn: 0.769 0.430 0.349
Sn: 0.349 0.930 0.769
Sn: 0.269 0.849 0.930
Sn: 0.231 0.661 0.080
Sn: 0.339 0.570 0.419
Sn: 0.570 0.231 0.151
Sn: 0.661 0.231 0.580
Sn: 0.580 0.731 0.661
Sn: 0.081 0.161 0.430
Sn: 0.151 0.731 0.570
Sn: 0.920 0.839 0.769
Sn: 0.769 0.339 0.920
Sn: 0.581 0.930 0.661
Sn: 0.651 0.581 0.920
Sn: 0.581 0.651 0.420
Sn: 0.080 0.919 0.349
Sn: 0.161 0.080 0.731
Sn: 0.081 0.920 0.151
Sn: 0.070 0.419 0.839
Sn: 0.420 0.151 0.581
Sn: 0.151 0.420 0.081
Sn: 0.419 0.070 0.339
Sn: 0.430 0.661 0.081
Sn: 0.849 0.269 0.430
Sn: 0.920 0.081 0.651
Sn: 0.161 0.081 0.930
Sn: 0.839 0.919 0.070
Sn: 0.420 0.269 0.339
Sn: 0.731 0.151 0.070
Sn: 0.919 0.080 0.849
Sn: 0.731 0.580 0.161
Sn: 0.849 0.580 0.919
Sb: 0.125 0.875 0.750
Sb: 0.375 0.750 0.625
Sb: 0.250 0.625 0.875
Sb: 0.875 0.750 0.125
Sb: 0.250 0.125 0.375
Sb: 0.750 0.875 0.625
Sb: 0.625 0.250 0.375
Sb: 0.375 0.625 0.250
Sb: 0.875 0.125 0.250
Sb: 0.750 0.375 0.125
Sb: 0.125 0.250 0.875
Sb: 0.625 0.375 0.750

- SG: Ia-3d, No. 230
- Crystal system: cubic
- Formation energy from raw total energies: 17.8 kJ per mole of atoms

---

First-principles (GGA-PBE) data for a relaxed SmMnMoC3 crystal, as listed in Alexandria.

Cell: 3.305 6.803 7.409 Å, 104.96 90.00 90.00°
Element x y z (fractional)
C: 0.250 0.826 0.471
C: 0.750 0.451 0.158
C: 0.750 0.174 0.529
C: 0.250 0.549 0.842
C: 0.750 0.879 0.144
C: 0.250 0.121 0.856
Mo: 0.250 0.650 0.130
Mo: 0.750 0.350 0.870
Mn: 0.750 0.892 0.394
Mn: 0.250 0.108 0.606
Sm: 0.250 0.187 0.205
Sm: 0.750 0.813 0.795

- SG: P2_1/m, No. 11
- Crystal system: monoclinic
- ΔH_f (0 K): 0.536 eV/f.u.

---

First-principles (GGA-PBE) data for a relaxed Ba8SrAu4 crystal, as listed in Alexandria.

Cell: 4.781 11.782 12.293 Å, 81.94 78.79 78.29°
Element x y z (fractional)
Ba: 0.557 0.663 0.224
Ba: 0.885 0.673 0.557
Ba: 0.812 0.339 0.036
Ba: 0.475 0.341 0.710
Ba: 0.219 0.664 0.898
Ba: 0.146 0.331 0.377
Ba: 0.850 0.994 0.306
Ba: 0.182 0.009 0.628
Au: 0.661 0.173 0.504
Au: 0.183 0.496 0.137
Au: 0.848 0.507 0.796
Au: 0.370 0.831 0.429
Sr: 0.516 0.001 0.967

- SG: Cm, No. 8
- Crystal system: monoclinic
- ΔH_f (0 K): -6.029 eV/f.u.

---

First-principles (GGA-PBE) data for a relaxed CaMn3Rh crystal, as listed in Alexandria.

Cell: 4.202 4.202 4.202 Å, 90.00 90.00 90.00°
Element x y z (fractional)
Ca: 0.000 0.000 0.000
Mn: 0.000 0.500 0.000
Mn: 0.500 0.000 0.000
Mn: 0.000 0.000 0.500
Rh: 0.500 0.500 0.500

- Energy above the most stable polymorph in this dataset: 1920 meV per atom
- SG: Pm-3m, No. 221
- Crystal system: cubic
- ΔH_f (0 K): 12.251 eV/f.u.

---

First-principles (GGA-PBE) data for a relaxed NaCaNb2 crystal, as listed in Alexandria.

Cell: 5.043 5.043 5.043 Å, 60.00 60.00 60.00°
Element x y z (fractional)
Nb: 0.750 0.750 0.750
Nb: 0.250 0.250 0.250
Na: 0.000 0.000 0.000
Ca: 0.500 0.500 0.500

- Energy above the most stable polymorph in this dataset: 114 meV per atom
- SG: Fm-3m, No. 225
- Crystal system: cubic
- ΔH_f (0 K): 5.462 eV/f.u.

---

First-principles (GGA-PBE) data for a relaxed Ti2TeBr2 crystal, as listed in Alexandria.

Cell: 4.749 4.749 6.158 Å, 67.32 67.32 90.00°
Each line ends with the local moment (μB).
Element x y z (fractional)
Br: 0.650 0.650 0.699  -0.02
Br: 0.350 0.350 0.301  -0.02
Ti: 0.750 0.250 0.500  1.07
Ti: 0.250 0.750 0.500  1.07
Te: 0.000 0.000 0.000  -0.11

- Energy above the most stable polymorph in this dataset: 0 meV per atom
- SG: I4/mmm, No. 139
- Crystal system: tetragonal
- Formation energy from raw total energies: -30.6 kJ per mole of atoms

---

First-principles (GGA-PBE) data for a relaxed TlSn crystal, as listed in Alexandria.

Cell: 4.395 4.395 8.879 Å, 90.00 90.00 120.00°
Element x y z (fractional)
Sn: 0.333 0.667 0.378
Sn: 0.667 0.333 0.878
Tl: 0.667 0.333 0.204
Tl: 0.333 0.667 0.704

- SG: P6_3mc, No. 186
- Crystal system: hexagonal
- ΔH_f (0 K): 0.665 eV/f.u.

---

First-principles (GGA-PBE) data for a relaxed Tl2ZnPt crystal, as listed in Alexandria.

Cell: 4.963 4.963 3.487 Å, 90.00 90.00 90.17°
Element x y z (fractional)
Tl: 0.000 0.000 0.000
Tl: 0.500 0.500 0.000
Zn: 0.500 0.000 0.500
Pt: 0.000 0.500 0.500

- Energy above the most stable polymorph in this dataset: 257 meV per atom
- SG: Cmmm, No. 65
- Crystal system: orthorhombic
- ΔH_f (0 K): 0.720 eV/f.u.

---

First-principles (GGA-PBE) data for a relaxed BaCeEr2 crystal, as listed in Alexandria.

Cell: 3.560 3.560 12.767 Å, 81.99 81.99 60.00°
Element x y z (fractional)
Er: 0.095 0.095 0.715
Er: 0.905 0.905 0.285
Ce: 0.500 0.500 0.500
Ba: 0.000 0.000 0.000

- SG: R-3m, No. 166
- Crystal system: trigonal
- ΔH_f (0 K): 1.044 eV/f.u.

---

First-principles (GGA-PBE) data for a relaxed YGeOs3 crystal, as listed in Alexandria.

Cell: 4.582 4.582 4.582 Å, 90.00 90.00 90.00°
Element x y z (fractional)
Os: 0.000 0.500 0.000
Os: 0.500 0.000 0.000
Os: 0.000 0.000 0.500
Y: 0.500 0.500 0.500
Ge: 0.000 0.000 0.000

- Energy above the most stable polymorph in this dataset: 0 meV per atom
- SG: Pm-3m, No. 221
- Crystal system: cubic
- ΔH_f (0 K): 4.088 eV/f.u.

---

First-principles (GGA-PBE) data for a relaxed Ca2YCu crystal, as listed in Alexandria.

Cell: 3.594 3.594 9.430 Å, 90.00 90.00 90.00°
Element x y z (fractional)
Cu: 0.000 0.000 0.521
Y: 0.500 0.500 0.678
Ca: 0.500 0.500 0.318
Ca: 0.000 0.000 0.983

- Energy above the most stable polymorph in this dataset: 0 meV per atom
- SG: P4mm, No. 99
- Crystal system: tetragonal
- ΔH_f (0 K): -0.202 eV/f.u.

---

First-principles (GGA-PBE) data for a relaxed NaThTl2 crystal, as listed in Alexandria.

Cell: 3.466 3.466 11.349 Å, 81.22 81.22 60.00°
Element x y z (fractional)
Tl: 0.087 0.087 0.740
Tl: 0.247 0.247 0.260
Th: 0.667 0.667 0.000
Na: 0.500 0.500 0.500

- SG: R3m, No. 160
- Crystal system: trigonal
- ΔH_f (0 K): -0.227 eV/f.u.

---

First-principles (GGA-PBE) data for a relaxed BaLi2Ru crystal, as listed in Alexandria.

Cell: 3.572 3.572 6.505 Å, 90.00 90.00 90.00°
Each line ends with the local moment (μB).
Element x y z (fractional)
Ba: 0.500 0.500 0.750  -0.07
Li: 0.000 0.000 0.416  -0.02
Li: 0.000 0.000 0.084  -0.02
Ru: 0.500 0.500 0.250  0.81

- Energy above the most stable polymorph in this dataset: 138 meV per atom
- SG: P4/mmm, No. 123
- Crystal system: tetragonal
- ΔH_f (0 K): 2.043 eV/f.u.

---

First-principles (GGA-PBE) data for a relaxed InPAu2 crystal, as listed in Alexandria.

Cell: 7.150 7.150 7.150 Å, 30.40 30.40 30.40°
Element x y z (fractional)
Au: 0.254 0.254 0.254
Au: 0.010 0.010 0.010
In: 0.499 0.499 0.499
P: 0.736 0.736 0.736

- Energy above the most stable polymorph in this dataset: 97 meV per atom
- SG: R3m, No. 160
- Crystal system: trigonal
- ΔH_f (0 K): 0.209 eV/f.u.

---

First-principles (GGA-PBE) data for a relaxed Ba2LiSbO5 crystal, as listed in Alexandria.

Cell: 3.396 8.148 10.776 Å, 90.00 90.00 102.03°
Element x y z (fractional)
Sb: 0.216 0.432 0.012
Sb: 0.784 0.568 0.512
O: 0.293 0.586 0.387
O: 0.493 0.986 0.295
O: 0.507 0.014 0.795
O: 0.339 0.677 0.003
O: 0.707 0.414 0.887
O: 0.661 0.323 0.503
O: 0.095 0.189 0.026
O: 0.905 0.811 0.526
O: 0.280 0.561 0.636
O: 0.720 0.439 0.136
Li: 0.438 0.876 0.455
Li: 0.562 0.124 0.955
Ba: 0.887 0.773 0.207
Ba: 0.113 0.227 0.707
Ba: 0.116 0.231 0.302
Ba: 0.884 0.769 0.802

- SG: Cmc2_1, No. 36
- Crystal system: orthorhombic
- Formation energy from raw total energies: -198.1 kJ per mole of atoms

---

First-principles (GGA-PBE) data for a relaxed Pu3Mg5Se12 crystal, as listed in Alexandria.

Cell: 13.928 13.928 13.928 Å, 109.47 109.47 109.47°
Each line ends with the local moment (μB).
Element x y z (fractional)
Se: 0.175 0.092 0.722  -0.23
Se: 0.370 0.953 0.778  -0.23
Se: 0.047 0.630 0.722  -0.23
Se: 0.408 0.278 0.325  -0.23
Se: 0.778 0.325 0.908  -0.23
Se: 0.722 0.130 0.047  -0.23
Se: 0.825 0.908 0.278  -0.23
Se: 0.417 0.370 0.592  -0.23
Se: 0.547 0.325 0.917  -0.23
Se: 0.222 0.547 0.630  -0.23
Se: 0.583 0.630 0.408  -0.23
Se: 0.778 0.453 0.370  -0.23
Se: 0.130 0.722 0.547  -0.23
Se: 0.630 0.047 0.222  -0.23
Se: 0.092 0.175 0.222  -0.23
Se: 0.222 0.675 0.092  -0.23
Se: 0.175 0.083 0.953  -0.23
Se: 0.325 0.547 0.417  -0.23
Se: 0.870 0.592 0.917  -0.23
Se: 0.592 0.870 0.417  -0.23
Se: 0.453 0.675 0.083  -0.23
Se: 0.325 0.778 0.408  -0.23
Se: 0.630 0.583 0.908  -0.23
Se: 0.825 0.917 0.047  -0.23
Se: 0.908 0.083 0.630  -0.23
Se: 0.047 0.417 0.825  -0.23
Se: 0.408 0.130 0.583  -0.23
Se: 0.092 0.917 0.370  -0.23
Se: 0.908 0.825 0.778  -0.23
Se: 0.278 0.870 0.953  -0.23
Se: 0.370 0.417 0.092  -0.23
Se: 0.917 0.092 0.870  -0.23
Se: 0.417 0.047 0.325  -0.23
Se: 0.453 0.778 0.870  -0.23
Se: 0.083 0.175 0.453  -0.23
Se: 0.675 0.222 0.592  -0.23
Se: 0.278 0.408 0.825  -0.23
Se: 0.870 0.278 0.453  -0.23
Se: 0.592 0.722 0.675  -0.23
Se: 0.917 0.825 0.547  -0.23
Se: 0.130 0.408 0.083  -0.23
Se: 0.953 0.370 0.278  -0.23
Se: 0.083 0.908 0.130  -0.23
Se: 0.953 0.583 0.175  -0.23
Se: 0.722 0.592 0.175  -0.23
Se: 0.583 0.953 0.675  -0.23
Se: 0.547 0.222 0.130  -0.23
Se: 0.675 0.453 0.583  -0.23
Mg: 0.625 0.875 0.250  -0.01
Mg: 0.500 0.000 0.000  0.00
Mg: 0.250 0.375 0.625  -0.01
Mg: 0.375 0.250 0.125  -0.01
Mg: 0.500 0.000 0.500  0.00
Mg: 0.000 0.000 0.500  0.00
Mg: 0.125 0.375 0.250  -0.01
Mg: 0.125 0.750 0.375  -0.01
Mg: 0.500 0.500 0.500  0.00
Mg: 0.375 0.125 0.750  -0.01
Mg: 0.000 0.000 0.000  0.00
Mg: 0.625 0.750 0.875  -0.01
Mg: 0.875 0.625 0.750  -0.01
Mg: 0.500 0.500 0.000  0.00
Mg: 0.250 0.875 0.125  -0.01
Mg: 0.000 0.500 0.500  0.00
Mg: 0.875 0.250 0.625  -0.01
Mg: 0.750 0.625 0.375  -0.01
Mg: 0.750 0.125 0.875  -0.01
Mg: 0.000 0.500 0.000  0.00
Pu: 0.250 0.125 0.375  4.71
Pu: 0.875 0.750 0.125  4.71
Pu: 0.625 0.375 0.750  4.71
Pu: 0.750 0.875 0.625  4.71
Pu: 0.375 0.625 0.250  4.71
Pu: 0.375 0.750 0.625  4.71
Pu: 0.750 0.375 0.125  4.71
Pu: 0.625 0.250 0.375  4.71
Pu: 0.125 0.250 0.875  4.71
Pu: 0.875 0.125 0.250  4.71
Pu: 0.125 0.875 0.750  4.71
Pu: 0.250 0.625 0.875  4.71

- SG: Ia-3d, No. 230
- Crystal system: cubic
- Formation energy from raw total energies: -96.4 kJ per mole of atoms